## BaAlVCuO5 (GGA+U)

Data for crystalline BaAlVCuO5 at its relaxed geometry.

Output
- electronic total energy (eV per atom) = -6.578

Cell lengths 3.2449, 3.8643, 9.6176 Å; angles 90.00, 90.00, 90.00 degrees
Site moments in Bohr magnetons follow the coordinates.
Positions (direct):
O1 0.0000 0.0000 0.5902  -0.01
O2 0.0000 0.5000 0.1189  -0.06
O3 0.5000 0.5000 0.8252  -0.04
O4 0.0000 0.0000 0.3300  -0.01
O5 0.5000 0.5000 0.4259  -0.03
Al1 0.5000 0.0000 0.4917  0.01
Ba1 0.5000 0.0000 0.9976  0.01
V1 0.0000 0.5000 0.3058  1.49
Cu1 0.0000 0.5000 0.7268  -0.13